[1]
Ga2Mo2Ir: optimized geometry, GGA-PBE.

Cell: 6.2694 6.2694 3.9368 Å, 90.00 90.00 90.00°
With the nearest neighbours (Å) after each atom.
Space group P4/mbm (No. 127)
One atom of each set of equivalent atoms:
Ga  0.1380  0.3620  0.0000 [4 per cell]  2 Ir 2.43, 1 Ga 2.45, 2 Mo 2.64
Mo  0.1628  0.6628  0.5000 [4 per cell]  6 Ga 2.64-2.73, 1 Mo 2.89
Ir  0.0000  0.0000  0.0000 [2 per cell]  4 Ga 2.43

density of states at the Fermi level	4.6	states/eV/f.u.
formation enthalpy at 0 K	0.21	eV/f.u.


[2]
CuTcSe2N: optimized geometry, GGA-PBE.

Cell: 5.0185 5.0185 3.6834 Å, 90.00 90.00 90.00°
With the nearest neighbours (Å) after each atom.
Space group P4/mmm (No. 123)
One atom of each set of equivalent atoms:
Cu  0.0000  0.0000  0.0000 [1 per cell]  8 Se 3.11
Tc  0.5000  0.5000  0.5000 [1 per cell]  2 N 1.84
Se  0.0000  0.5000  0.5000 [2 per cell]  2 Tc 2.51
N  0.5000  0.5000  0.0000 [1 per cell]  2 Tc 1.84

density of states at the Fermi level	3.2	states/eV/f.u.
E_form (uncorrected)	2.5	eV/f.u.
excess energy over the best structure of this formula in the dataset	0	meV per atom


[3]
Ca2ScAlZn: optimized geometry, GGA-PBE.

Cell: 5.5390 5.5390 5.0877 Å, 90.00 90.00 90.00°
With the nearest neighbours (Å) after each atom.
Space group P4/mmm (No. 123)
One atom of each set of equivalent atoms:
Ca  0.0000  0.5000  0.0000 [2 per cell]  2 Zn 2.77
Sc  0.0000  0.0000  0.5000 [1 per cell]  2 Zn 2.54
Al  0.5000  0.5000  0.5000 [1 per cell]  8 Ca 3.76, 4 Sc 3.92
Zn  0.0000  0.0000  0.0000 [1 per cell]  2 Sc 2.54, 4 Ca 2.77

density of states at the Fermi level	8.1	states/eV/f.u.
formation enthalpy at 0 K	1.42	eV/f.u.


[4]
TcH3S: optimized geometry, GGA-PBE.

Cell: 3.3786 3.3786 3.3786 Å, 90.00 90.00 90.00°
With the nearest neighbours (Å) after each atom.
Space group Pm-3m (No. 221)
One atom of each set of equivalent atoms:
Tc  0.0000  0.0000  0.0000 [1 per cell]  12 H 2.39
H  0.0000  0.5000  0.5000 [3 per cell]  2 S 1.69
S  0.5000  0.5000  0.5000 [1 per cell]  6 H 1.69

density of states at the Fermi level	4.4	states/eV/f.u.
excess energy over the best structure of this formula in the dataset	550	meV per atom


[5]
RbAc2PtO4: optimized geometry, GGA-PBE.

Cell: 3.7748 13.0393 14.5059 Å, 90.00 90.00 90.00°
With the nearest neighbours (Å) after each atom.
Space group Cmcm (No. 63)
One atom of each set of equivalent atoms:
Rb  0.0000  0.1789  0.2500 [4 per cell]  5 O 3.20-3.22, 1 Pt 3.30
Ac  0.0000  0.3670  0.0484 [8 per cell]  5 O 2.40-2.66
Pt  0.0000  0.0746  0.7500 [4 per cell]  2 O 1.89
O  0.0000  0.0000  0.0000 [4 per cell]  4 Ac 2.66
O  0.0000  0.2524  0.5810 [8 per cell]  3 Ac 2.40-2.49
O  0.0000  0.4243  0.2500 [4 per cell]  2 Pt 1.89

density of states at the Fermi level	1.3	states/eV/f.u.
E_form (uncorrected)	-17.4	eV/f.u.


Question: density of states at the Fermi level of number 3 (Ca2ScAlZn)?
Answer: 8.1 states/eV/f.u.


Question: Number 4 is which compound?
Answer: TcH3S


Question: Look up the density of states at the Fermi level of the second one.
Answer: 3.2 states/eV/f.u.